The following is a SCAN calculation of ZrIn2Ag at its PBEsol-relaxed geometry, from Alexandria via LeMat-Bulk.

```
ZrIn2Ag
1.0
3.0067 0.0000 0.0000
0.0000 5.3619 0.0058
0.0000 -1.6449 5.1034
Zr Ag In
1 1 2
direct
0.5000 0.5000 0.5000
0.5000 0.0000 0.0000
0.0000 0.0000 0.5000
0.0000 0.5000 0.0000
```

- Space-group type: Cmmm (65)
- Magnetization: 0.00 Bohr magnetons per cell
- ΔE_f: -221 meV per atom